1.
# PBE Zr6Ir5Os, relaxed
data_Zr6Ir5Os
_chemical_formula_sum 'Zr6 Ir5 Os1'
_cell_length_a 4.8436
_cell_length_b 6.2484
_cell_length_c 7.4551
_cell_angle_alpha 90.00
_cell_angle_beta 106.53
_cell_angle_gamma 90.00
_space_group_name_H-M_alt 'P 1'
_space_group_IT_number 1
loop_
_space_group_symop_operation_xyz
'x,y,z'
loop_
_atom_site_label
_atom_site_type_symbol
_atom_site_fract_x
_atom_site_fract_y
_atom_site_fract_z
Ir1 Ir 0.6130 0.0000 0.3201
Ir2 Ir 0.0000 0.5000 0.0000
Ir3 Ir 0.3826 0.5000 0.6770
Ir4 Ir 0.3870 0.0000 0.6799
Ir5 Ir 0.6174 0.5000 0.3230
Zr1 Zr 0.5000 0.2500 0.0000
Zr2 Zr 0.8597 0.2494 0.6634
Zr3 Zr 0.8597 0.7506 0.6634
Zr4 Zr 0.1403 0.2494 0.3366
Zr5 Zr 0.1403 0.7506 0.3366
Zr6 Zr 0.5000 0.7500 0.0000
Os1 Os 0.0000 0.0000 0.0000
# formation energy from the elements	-732	meV/atom
# density of states at the Fermi level	0.7021	states/eV/atom
# calculated volume	216.3	Å³ per cell



2.
# PBE ZrIrOs, relaxed
data_ZrIrOs
_chemical_formula_sum 'Zr1 Ir1 Os1'
_cell_length_a 4.5439
_cell_length_b 4.5439
_cell_length_c 2.7994
_cell_angle_alpha 90.00
_cell_angle_beta 90.00
_cell_angle_gamma 120.00
_space_group_name_H-M_alt 'P 1'
_space_group_IT_number 1
loop_
_space_group_symop_operation_xyz
'x,y,z'
loop_
_atom_site_label
_atom_site_type_symbol
_atom_site_fract_x
_atom_site_fract_y
_atom_site_fract_z
Zr1 Zr 0.6667 0.3333 0.6599
Ir1 Ir 0.0000 0.0000 0.9537
Os1 Os 0.3333 0.6667 0.3863
# formation energy from the elements	34	meV/atom
# relative energy among the computed polymorphs	321	meV per atom
# density of states at the Fermi level	1.8772	states/eV/atom
# calculated volume	50.1	Å³ per cell